Material: Mn4O
Method: DFT, PBE with a Hubbard U
State: optimized geometry

Output
The calculation puts the volume at 85.3 Å³/cell. The space group is Pm-3m, No. 221. The value obtained for the spin magnetization is 3.6301 μB/atom. The total energy is -6.9265 eV/atom.

CIF file:
```
data_Mn4O
_chemical_formula_sum 'Mn4 O1'
_cell_length_a 4.402
_cell_length_b 4.402
_cell_length_c 4.402
_cell_angle_alpha 90.00
_cell_angle_beta 90.00
_cell_angle_gamma 90.00
_symmetry_space_group_name_H-M 'P 1'
_symmetry_Int_Tables_number 1
loop_
_symmetry_equiv_pos_as_xyz
'x,y,z'
loop_
_atom_site_label
_atom_site_type_symbol
_atom_site_fract_x
_atom_site_fract_y
_atom_site_fract_z
Mn1 Mn 0.000 0.000 0.000
Mn2 Mn 0.000 0.500 0.500
Mn3 Mn 0.500 0.000 0.500
Mn4 Mn 0.500 0.500 0.000
O1 O 0.500 0.500 0.500
```